Material: Tb5Nd2TmSc
Method: DFT, PBE
State: relaxed

abc: 5.541 10.485 10.363
angles: 90.00 90.00 105.32
Fractional coordinates of all 18 atoms:
Tb 0.372 0.744 0.019
Tb 0.726 0.453 0.821
Tb 0.484 0.968 0.743
Tb 0.298 0.596 0.702
Tb 0.985 0.970 0.515
Tb 0.628 0.256 0.519
Tb 0.274 0.547 0.321
Tb 0.516 0.032 0.243
Tb 0.702 0.404 0.202
Tb 0.015 0.030 0.015
Nd 0.887 0.773 0.813
Nd 0.115 0.231 0.736
Nd 0.113 0.227 0.313
Nd 0.885 0.769 0.236
Tm 0.595 0.189 0.961
Tm 0.405 0.811 0.461
Sc 0.806 0.611 0.515
Sc 0.194 0.389 0.015

## Properties
- Calculated formation energy: 150 meV per atom
- Total energy: -0.172 hartree per atom